Entry from the Alexandria database: an optimized crystal structure of Al2SbPdCl (PBE).

Calculated values
formation energy (no corrections)	414	meV per atom
SG	P4/mmm
DOS at the Fermi energy	2.4	states/eV/f.u.

Unit cell a=4.993 b=4.567 c=4.993 alpha=90.00 beta=90.00 gamma=90.00
Positions (direct):
Sb 0.500 0.500 0.500
Al 0.000 0.000 0.500
Al 0.500 0.000 0.000
Cl 0.000 0.000 0.000
Pd 0.000 0.500 0.000

Entry from the Alexandria database: an optimized crystal structure of Ac2TiP3Rh12 (PBE).

Calculated values
energy of formation	-0.31	eV per atom
SG	R-3m
DOS at the Fermi energy	14.1	states/eV/f.u.

Unit cell a=7.319 b=7.319 c=7.319 alpha=70.05 beta=70.05 gamma=70.05
Positions (direct):
Rh 0.868 0.363 0.868
Rh 0.132 0.637 0.132
Rh 0.327 0.910 0.327
Rh 0.637 0.132 0.132
Rh 0.910 0.327 0.327
Rh 0.090 0.673 0.673
Rh 0.673 0.673 0.090
Rh 0.868 0.868 0.363
Rh 0.132 0.132 0.637
Rh 0.327 0.327 0.910
Rh 0.363 0.868 0.868
Rh 0.673 0.090 0.673
P 0.000 0.000 0.500
P 0.000 0.500 0.000
P 0.500 0.000 0.000
Ac 0.609 0.609 0.609
Ac 0.391 0.391 0.391
Ti 0.000 0.000 0.000

Entry from the Alexandria database: an optimized crystal structure of Tl3Sn2Au3 (PBE).

Calculated values
energy of formation	-0.08	eV per atom
SG	Cmcm
DOS at the Fermi energy	3.2	states/eV/f.u.

Unit cell a=4.385 b=6.976 c=14.617 alpha=90.00 beta=90.00 gamma=108.32
Positions (direct):
Tl 0.940 0.879 0.371
Tl 0.060 0.121 0.629
Tl 0.060 0.121 0.871
Tl 0.614 0.228 0.250
Tl 0.940 0.879 0.129
Tl 0.386 0.772 0.750
Au 0.398 0.796 0.523
Au 0.695 0.390 0.750
Au 0.602 0.204 0.023
Au 0.602 0.204 0.477
Au 0.398 0.796 0.977
Au 0.305 0.610 0.250
Sn 0.784 0.569 0.581
Sn 0.216 0.431 0.419
Sn 0.216 0.431 0.081
Sn 0.784 0.569 0.919

Entry from the Alexandria database: an optimized crystal structure of K4CaTc (PBE).

Calculated values
energy of formation	1.03	eV per atom
SG	F-43m
DOS at the Fermi energy	8.5	states/eV/f.u.

Unit cell a=7.415 b=7.415 c=7.415 alpha=60.00 beta=60.00 gamma=60.00
Positions (direct):
K 0.376 0.376 0.376
K 0.376 0.871 0.376
K 0.376 0.376 0.871
K 0.871 0.376 0.376
Ca 0.000 0.000 0.000
Tc 0.750 0.750 0.750

Entry from the Alexandria database: an optimized crystal structure of Sr2ScP (PBE).

Calculated values
energy of formation	-0.23	eV per atom
SG	P2/m
DOS at the Fermi energy	1.9	states/eV/f.u.

Unit cell a=4.131 b=4.131 c=6.775 alpha=89.91 beta=90.00 gamma=90.00
Positions (direct):
Sc 0.500 0.500 0.500
P 0.500 0.500 0.000
Sr 0.000 0.999 0.780
Sr 0.000 0.001 0.220

Entry from the Alexandria database: an optimized crystal structure of TcAs2PdBr (PBE).

Calculated values
formation energy (no corrections)	592	meV per atom
polymorph energy (0 for the lowest one)	0.0	meV/atom
SG	P4/mmm
DOS at the Fermi energy	5.4	states/eV/f.u.

Unit cell a=4.691 b=4.691 c=5.416 alpha=90.00 beta=90.00 gamma=90.00
Positions (direct):
Br 0.000 0.000 0.500
Tc 0.000 0.000 0.000
As 0.500 0.000 0.000
As 0.000 0.500 0.000
Pd 0.500 0.500 0.500

Entry from the Alexandria database: an optimized crystal structure of K2MgHg3F12 (PBE).

Calculated values
formation energy (no corrections)	-1935	meV per atom
SG	R-3m
DOS at the Fermi energy	8.1	states/eV/f.u.

Unit cell a=7.811 b=7.811 c=7.811 alpha=62.35 beta=62.35 gamma=62.35
Positions (direct):
K 0.672 0.672 0.672
K 0.328 0.328 0.328
F 0.339 0.955 0.339
F 0.661 0.045 0.661
F 0.045 0.661 0.661
F 0.934 0.934 0.299
F 0.934 0.299 0.934
F 0.066 0.701 0.066
F 0.955 0.339 0.339
F 0.299 0.934 0.934
F 0.661 0.661 0.045
F 0.339 0.339 0.955
F 0.701 0.066 0.066
F 0.066 0.066 0.701
Hg 0.000 0.500 0.000
Hg 0.000 0.000 0.500
Hg 0.500 0.000 0.000
Mg 0.000 0.000 0.000

Entry from the Alexandria database: an optimized crystal structure of NbCrHRh2 (PBE).

Calculated values
polymorph energy (0 for the lowest one)	39.2	meV/atom
SG	P4/mmm
DOS at the Fermi energy	3.7	states/eV/f.u.

Unit cell a=3.890 b=3.890 c=4.051 alpha=90.00 beta=90.00 gamma=90.00
Positions (direct):
Cr 0.500 0.500 0.500
Nb 0.000 0.000 0.500
Rh 0.500 0.000 0.000
Rh 0.000 0.500 0.000
H 0.000 0.000 0.000

Entry from the Alexandria database: an optimized crystal structure of TmPuMnCu (PBE).

Calculated values
energy of formation	0.06	eV per atom
SG	F-43m
DOS at the Fermi energy	7.4	states/eV/f.u.

Unit cell a=4.844 b=4.844 c=4.844 alpha=60.00 beta=60.00 gamma=60.00
Positions (direct):
Tm 0.500 0.500 0.500
Mn 0.750 0.750 0.750
Cu 0.250 0.250 0.250
Pu 0.000 0.000 0.000

Entry from the Alexandria database: an optimized crystal structure of SrMn2Ir (PBE).

Calculated values
energy of formation	0.73	eV per atom
SG	I4_1/amd
DOS at the Fermi energy	7.2	states/eV/f.u.

Unit cell a=4.568 b=4.568 c=8.937 alpha=75.19 beta=75.19 gamma=90.00
Positions (direct):
Ir 0.750 0.250 0.500
Ir 0.000 0.000 0.000
Mn 0.375 0.125 0.750
Mn 0.875 0.125 0.250
Mn 0.875 0.625 0.250
Mn 0.875 0.125 0.750
Sr 0.500 0.500 0.000
Sr 0.250 0.750 0.500

Entry from the Alexandria database: an optimized crystal structure of SiSbPd4 (PBE).

Calculated values
formation energy (no corrections)	-450	meV per atom
polymorph energy (0 for the lowest one)	114.6	meV/atom
SG	P2_1/c
DOS at the Fermi energy	1.5	states/eV/f.u.

Unit cell a=4.613 b=5.696 c=7.692 alpha=90.00 beta=87.55 gamma=90.00
Positions (direct):
Sb 0.500 0.500 0.000
Sb 0.000 0.000 0.000
Pd 0.987 0.594 0.193
Pd 0.477 0.385 0.348
Pd 0.013 0.406 0.807
Pd 0.523 0.615 0.652
Pd 0.977 0.115 0.348
Pd 0.513 0.094 0.807
Pd 0.023 0.885 0.652
Pd 0.487 0.906 0.193
Si 0.000 0.500 0.500
Si 0.500 0.000 0.500

Entry from the Alexandria database: an optimized crystal structure of K2ZrMo (PBE).

Calculated values
polymorph energy (0 for the lowest one)	67.9	meV/atom
energy of formation	0.77	eV per atom
SG	Cmm2
DOS at the Fermi energy	3.8	states/eV/f.u.

Unit cell a=3.279 b=3.279 c=12.325 alpha=90.00 beta=90.00 gamma=110.24
Positions (direct):
K 0.500 0.500 0.305
K 0.000 0.000 0.966
Zr 0.500 0.500 0.688
Mo 0.000 0.000 0.541

Entry from the Alexandria database: an optimized crystal structure of Na2Si2I (PBE).

Calculated values
formation energy (no corrections)	287	meV per atom
SG	I4/mmm
DOS at the Fermi energy	4.4	states/eV/f.u.

Unit cell a=5.212 b=5.212 c=6.632 alpha=66.86 beta=66.86 gamma=90.00
Positions (direct):
Si 0.402 0.402 0.197
Si 0.598 0.598 0.803
Na 0.250 0.750 0.500
Na 0.750 0.250 0.500
I 0.000 0.000 0.000

Entry from the Alexandria database: an optimized crystal structure of CdHgAu2 (PBE).

Calculated values
energy of formation	0.00	eV per atom
SG	R-3m
DOS at the Fermi energy	1.4	states/eV/f.u.

Unit cell a=9.823 b=9.823 c=9.823 alpha=18.07 beta=18.07 gamma=18.07
Positions (direct):
Au 0.502 0.502 0.502
Au 0.998 0.998 0.998
Hg 0.750 0.750 0.750
Cd 0.250 0.250 0.250

Entry from the Alexandria database: an optimized crystal structure of ErLuNiSn (PBE).

Calculated values
energy of formation	-0.45	eV per atom
SG	F-43m
DOS at the Fermi energy	1.3	states/eV/f.u.

Unit cell a=5.014 b=5.014 c=5.014 alpha=60.00 beta=60.00 gamma=60.00
Positions (direct):
Ni 0.750 0.750 0.750
Er 0.000 0.000 0.000
Lu 0.500 0.500 0.500
Sn 0.250 0.250 0.250

Entry from the Alexandria database: an optimized crystal structure of TbIF (PBE).

Calculated values
formation energy (no corrections)	-2213	meV per atom
SG	P-1
DOS at the Fermi energy	0.7	states/eV/f.u.

Unit cell a=3.786 b=7.667 c=8.947 alpha=50.26 beta=77.74 gamma=90.03
Positions (direct):
I 0.374 0.049 0.253
I 0.626 0.951 0.747
Tb 0.705 0.648 0.588
Tb 0.295 0.352 0.412
F 0.120 0.537 0.758
F 0.880 0.463 0.242

Entry from the Alexandria database: an optimized crystal structure of ThSc2In2Ag2 (PBE).

Calculated values
energy of formation	-0.25	eV per atom
SG	R-3m
DOS at the Fermi energy	3.9	states/eV/f.u.

Unit cell a=4.754 b=4.754 c=8.835 alpha=74.39 beta=74.39 gamma=60.00
Positions (direct):
Th 0.000 0.000 0.000
Ag 0.560 0.560 0.319
Ag 0.440 0.440 0.681
Sc 0.136 0.136 0.592
Sc 0.864 0.864 0.408
In 0.740 0.740 0.781
In 0.260 0.260 0.219

Entry from the Alexandria database: an optimized crystal structure of GaPO (PBE).

Calculated values
formation energy (no corrections)	-852	meV per atom
polymorph energy (0 for the lowest one)	152.5	meV/atom
SG	Cc

Unit cell a=7.229 b=4.275 c=7.479 alpha=90.00 beta=125.87 gamma=90.00
Positions (direct):
O 0.063 0.830 0.512
O 0.563 0.670 0.512
O 0.063 0.330 0.012
O 0.563 0.170 0.012
Ga 0.813 0.519 0.262
Ga 0.813 0.019 0.762
Ga 0.313 0.481 0.762
Ga 0.313 0.981 0.262
P 0.986 0.148 0.569
P 0.486 0.852 0.069
P 0.486 0.352 0.569
P 0.986 0.648 0.069

Entry from the Alexandria database: an optimized crystal structure of Zn8GaAg3 (PBE).

Calculated values
energy of formation	0.21	eV per atom
SG	I-42m
DOS at the Fermi energy	4.7	states/eV/f.u.

Unit cell a=6.756 b=6.756 c=6.756 alpha=97.46 beta=115.79 gamma=115.79
Positions (direct):
Zn 0.495 0.236 0.236
Zn 0.728 0.106 0.106
Zn 0.505 0.740 0.740
Zn 0.000 0.764 0.260
Zn 0.000 0.260 0.764
Zn 0.000 0.621 0.894
Zn 0.272 0.379 0.379
Zn 0.000 0.894 0.621
Ag 0.500 0.750 0.250
Ag 0.500 0.250 0.750
Ag 0.000 0.500 0.500
Ga 0.000 0.000 0.000

Entry from the Alexandria database: an optimized crystal structure of PdRuI2N (PBE).

Calculated values
formation energy (no corrections)	1335	meV per atom
polymorph energy (0 for the lowest one)	792.4	meV/atom
SG	P4/mmm
DOS at the Fermi energy	6.0	states/eV/f.u.

Unit cell a=5.522 b=5.522 c=3.674 alpha=90.00 beta=90.00 gamma=90.00
Positions (direct):
Pd 0.000 0.000 0.000
N 0.000 0.000 0.500
Ru 0.500 0.500 0.500
I 0.500 0.000 0.000
I 0.000 0.500 0.000

Entry from the Alexandria database: an optimized crystal structure of Be2CoAs (PBE).

Calculated values
energy of formation	0.16	eV per atom
SG	F-43m
DOS at the Fermi energy	0.5	states/eV/f.u.

Unit cell a=3.918 b=3.918 c=3.918 alpha=60.00 beta=60.00 gamma=60.00
Positions (direct):
As 0.500 0.500 0.500
Co 0.750 0.750 0.750
Be 0.000 0.000 0.000
Be 0.250 0.250 0.250

Entry from the Alexandria database: an optimized crystal structure of La6Tc2BrCl3 (PBE).

Calculated values
formation energy (no corrections)	-1028	meV per atom
SG	C2/m
DOS at the Fermi energy	5.0	states/eV/f.u.

Unit cell a=4.176 b=9.191 c=9.556 alpha=100.22 beta=102.62 gamma=90.00
Positions (direct):
Cl 0.142 0.810 0.283
Cl 0.500 0.500 0.000
Cl 0.858 0.190 0.717
La 0.312 0.872 0.624
La 0.029 0.266 0.058
La 0.688 0.128 0.376
La 0.673 0.557 0.346
La 0.327 0.443 0.654
La 0.971 0.734 0.942
Tc 0.160 0.317 0.320
Tc 0.840 0.683 0.680
Br 0.500 0.000 0.000

Entry from the Alexandria database: an optimized crystal structure of FeNi2AgN (PBE).

Calculated values
formation energy (no corrections)	37	meV per atom
SG	P4/mmm
DOS at the Fermi energy	5.1	states/eV/f.u.

Unit cell a=3.869 b=3.869 c=3.821 alpha=90.00 beta=90.00 gamma=90.00
Positions (direct):
Ni 0.000 0.500 0.000
Ni 0.500 0.000 0.000
N 0.000 0.000 0.000
Ag 0.500 0.500 0.500
Fe 0.000 0.000 0.500

Entry from the Alexandria database: an optimized crystal structure of Pr2Tm5Fe2 (PBE).

Calculated values
energy of formation	0.00	eV per atom
SG	Cmce
DOS at the Fermi energy	11.9	states/eV/f.u.

Unit cell a=6.970 b=6.953 c=10.607 alpha=90.00 beta=70.82 gamma=90.00
Positions (direct):
Pr 0.769 0.000 0.462
Pr 0.231 0.000 0.538
Pr 0.269 0.500 0.462
Pr 0.731 0.500 0.538
Tm 0.000 0.000 0.000
Tm 0.077 0.678 0.207
Tm 0.423 0.178 0.793
Tm 0.216 0.178 0.207
Tm 0.716 0.322 0.207
Tm 0.284 0.678 0.793
Tm 0.923 0.322 0.793
Tm 0.577 0.822 0.207
Tm 0.784 0.822 0.793
Tm 0.500 0.500 0.000
Fe 0.111 0.392 0.000
Fe 0.389 0.892 0.000
Fe 0.889 0.608 0.000
Fe 0.611 0.108 0.000